Entry 1:
VASP calculation (PBE) on a relaxed TaGeF2 crystal.

The structure belongs to space group Fm-3m (No. 225); the cell edges are 5.9607, 5.9607 and 5.9607 Å and the angles 90.00°, 90.00° and 90.00°. Symmetry generates all atoms from Ta at (0.0000, 0.0000, 0.0000), Ge at (0.0000, 0.0000, 0.5000) and F at (0.2500, 0.2500, 0.2500).

The value obtained for the magnetic moment is 0.00 μB/cell. The value obtained for the density is 9.1 g/cm³. The total energy comes out at -22.27 eV/f.u. As for the uncorrected formation energy: -514 meV/atom.

***

Entry 2:
VASP calculation (PBE) on a relaxed CaPu2As3 crystal.

The structure belongs to space group Immm (No. 71); the cell edges are 4.1704, 5.8454 and 12.5169 Å and the angles 90.00°, 90.00° and 90.00°. Symmetry generates all atoms from Ca at (0.0000, 0.0000, 0.0000), Pu at (0.0000, 0.0000, 0.3364), As at (0.0000, 0.5000, 0.0000) and As at (0.0000, 0.5000, 0.3214).

Its formation energy is -1033 meV/atom. The value obtained for the magnetic moment is 18.02 μB/cell. The value obtained for the density is 8.2 g/cm³. The total energy comes out at -50.81 eV/f.u.